Entry 1:
A relaxed structure of InRe4P. Source: Alexandria via LeMat-Bulk, functional GGA-PBE.

D(E_F) in states/eV per atom: 0.408
SG: F-43m
Final energy in eV for the cell shown: -53.32
Formation energy in eV/atom: 0.77

a = 5.257 Å, b = 5.257 Å, c = 5.257 Å
α = 60.00°, β = 60.00°, γ = 60.00°
Element x y z (fractional)
In 0.000 0.000 0.000
Re 0.376 0.376 0.376
Re 0.376 0.376 0.873
Re 0.376 0.873 0.376
Re 0.873 0.376 0.376
P 0.750 0.750 0.750



Entry 2:
A relaxed structure of PrSbS. Source: Alexandria via LeMat-Bulk, functional GGA-PBE.

D(E_F) in states/eV per atom: 0.242
SG: R-3m
Final energy in eV for the cell shown: -33.12
Formation energy without anion corrections in eV/atom: -1.177

a = 9.309 Å, b = 9.309 Å, c = 9.309 Å
α = 30.12°, β = 30.12°, γ = 30.12°
Element x y z (fractional)
Pr 0.101 0.101 0.101
Pr 0.899 0.899 0.899
Sb 0.349 0.349 0.349
Sb 0.651 0.651 0.651
S 0.207 0.207 0.207
S 0.793 0.793 0.793



Which value of D(E_F) does entry 1 give? 0.408 states/eV per atom